A relaxed structure of Sr2VTeBr. Source: Alexandria, functional PBE.

For the total energy, the calculation gives -3.764 eV per atom. The excess energy over the best structure of this formula in the dataset is 0.0000 eV/atom.

It has space group P4/mmm (No. 123), with a = 6.4043 Å, b = 6.4043 Å, c = 5.0800 Å, α = 90.00°, β = 90.00° and γ = 90.00°. The asymmetric unit holds Sr at (0.0000, 0.5000, 0.0000), V at (0.0000, 0.0000, 0.5000), Te at (0.0000, 0.0000, 0.0000) and Br at (0.5000, 0.5000, 0.5000).

---

A relaxed structure of TmMgBi2. Source: Alexandria, functional PBE.

For the total energy, the calculation gives -3.819 eV per atom. The excess energy over the best structure of this formula in the dataset is 0.0384 eV/atom. The calculation puts the formation energy at -0.362 eV per atom.

It has space group Pnma (No. 62), with a = 12.5455 Å, b = 6.2222 Å, c = 6.2215 Å, α = 90.00°, β = 90.00° and γ = 90.00°. The asymmetric unit holds Tm at (0.0101, 0.2500, 0.2501), Mg at (0.2494, 0.7500, 0.2491), Bi at (0.0005, 0.2500, 0.7501) and Bi at (0.2412, 0.7500, 0.7492).

---

A relaxed structure of AlSe3. Source: Alexandria, functional PBE.

For the total energy, the calculation gives -3.573 eV per atom. The excess energy over the best structure of this formula in the dataset is 0.2592 eV/atom.

It has space group I4/mmm (No. 139), with a = 3.7081 Å, b = 3.7081 Å, c = 14.9193 Å, α = 90.00°, β = 90.00° and γ = 90.00°. The asymmetric unit holds Al at (0.0000, 0.0000, 0.0000), Se at (0.0000, 0.0000, 0.5000) and Se at (0.0000, 0.5000, 0.2500).

---

Density per entry: 3.5; 8.4; 4.3 g cm⁻³
Calculated volume per entry: 208; 121; 103 Å³/f.u.